[1]
## MnAsPd5 (GGA-PBE)

Data for an optimized crystal structure of MnAsPd5.

Cell lengths 6.456, 6.456, 7.574 Å; angles 116.60, 116.60, 81.11 degrees
Atoms (fractional coordinates):
Mn 0.226 0.774 0.750
Mn 0.774 0.226 0.250
As 0.000 0.500 0.000
As 0.500 0.000 0.500
Pd 0.029 0.404 0.657
Pd 0.077 0.923 0.250
Pd 0.364 0.375 0.520
Pd 0.375 0.364 0.020
Pd 0.404 0.029 0.157
Pd 0.596 0.971 0.843
Pd 0.625 0.636 0.980
Pd 0.636 0.625 0.480
Pd 0.923 0.077 0.750
Pd 0.971 0.596 0.343

Computed properties:
Total magnetization in μB per formula unit: 4.5
Calculated formation energy in meV/atom: 34



[2]
## Mn3AsPd (GGA-PBE)

Data for an optimized crystal structure of Mn3AsPd.

Cell lengths 4.280, 4.280, 4.280 Å; angles 90.00, 90.00, 90.00 degrees
Atoms (fractional coordinates):
Mn 0.000 0.000 0.500
Mn 0.000 0.500 0.000
Mn 0.500 0.000 0.000
As 0.000 0.000 0.000
Pd 0.500 0.500 0.500

Computed properties:
Total magnetization in μB per formula unit: 0.0
Calculated formation energy in meV/atom: 1127
Offset from the most stable computed form in eV/f.u.: 1.48



[3]
## Mn3AsPd4 (GGA-PBE)

Data for an optimized crystal structure of Mn3AsPd4.

Cell lengths 6.283, 6.283, 6.283 Å; angles 90.00, 90.00, 90.00 degrees
Atoms (fractional coordinates):
Mn 0.000 0.000 0.500
Mn 0.000 0.500 0.000
Mn 0.000 0.500 0.500
Mn 0.500 0.000 0.000
Mn 0.500 0.000 0.500
Mn 0.500 0.500 0.000
As 0.000 0.000 0.000
As 0.500 0.500 0.500
Pd 0.250 0.250 0.250
Pd 0.250 0.250 0.750
Pd 0.250 0.750 0.250
Pd 0.250 0.750 0.750
Pd 0.750 0.250 0.250
Pd 0.750 0.250 0.750
Pd 0.750 0.750 0.250
Pd 0.750 0.750 0.750

Computed properties:
Total magnetization in μB per formula unit: 13.7
Calculated formation energy in meV/atom: -163



[4]
## MnAs2Pd4 (GGA-PBE)

Data for an optimized crystal structure of MnAs2Pd4.

Cell lengths 4.007, 4.007, 7.092 Å; angles 90.00, 90.00, 90.00 degrees
Atoms (fractional coordinates):
Mn 0.000 0.000 0.000
As 0.000 0.000 0.500
As 0.500 0.500 0.000
Pd 0.000 0.500 0.281
Pd 0.000 0.500 0.719
Pd 0.500 0.000 0.281
Pd 0.500 0.000 0.719

Computed properties:
Total magnetization in μB per formula unit: 3.9
Calculated formation energy in meV/atom: -248